Entry 1:
This record from the Alexandria database describes a geometry-optimized Ho2PaCo3 structure. The functional is PBE.

abc: 4.9987 6.3888 7.4972
angles: 90.00 109.38 90.00
With the nearest neighbours (Å) after each atom.
Atoms (fractional coordinates):
Ho (0.1681, 0.9999, 0.3362)  8 Co 2.94-2.98, 2 Ho 3.19-3.20
Ho (0.1681, 0.5001, 0.3362)  8 Co 2.94-2.98, 2 Ho 3.19-3.20
Ho (0.8319, 0.0001, 0.6638)  8 Co 2.94-2.98, 2 Ho 3.19-3.20
Ho (0.8319, 0.4999, 0.6638)  8 Co 2.94-2.98, 2 Ho 3.19-3.20
Pa (0.3669, 0.2500, 0.9997)  4 Co 2.32-2.55
Pa (0.6331, 0.7500, 0.0003)  4 Co 2.32-2.55
Co (0.1430, 0.7500, 0.0002)  2 Pa 2.45-2.55
Co (0.3407, 0.7500, 0.6865)  1 Pa 2.32
Co (0.3452, 0.2500, 0.6853)  1 Pa 2.32
Co (0.6548, 0.7500, 0.3147)  1 Pa 2.32
Co (0.6593, 0.2500, 0.3135)  1 Pa 2.32
Co (0.8570, 0.2500, 0.9998)  2 Pa 2.45-2.55

Calculated values
Its symmetry is P2_1/m. The calculated formation energy comes out at -216 meV per atom.



Entry 2:
This record from the Alexandria database describes a geometry-optimized Ce5Ge2Ir structure. The functional is PBE.

abc: 7.6573 11.8100 4.5004
angles: 90.00 90.00 90.00
With the nearest neighbours (Å) after each atom.
Atoms (fractional coordinates):
Ce (0.0000, 0.0000, 0.0000)  4 Ge 3.11, 4 Ce 3.25
Ce (0.1450, 0.2862, 0.0000)  1 Ir 2.76
Ce (0.2102, 0.5642, 0.5000)  2 Ir 2.87, 1 Ge 3.12
Ce (0.2898, 0.0642, 0.5000)  2 Ir 2.87, 1 Ge 3.12
Ce (0.3550, 0.7862, 0.0000)  1 Ir 2.76
Ce (0.5000, 0.5000, 0.0000)  4 Ge 3.11, 4 Ce 3.25
Ce (0.6450, 0.2138, 0.0000)  1 Ir 2.76
Ce (0.7102, 0.9358, 0.5000)  2 Ir 2.87, 1 Ge 3.12
Ce (0.7898, 0.4358, 0.5000)  2 Ir 2.87, 1 Ge 3.12
Ce (0.8550, 0.7138, 0.0000)  1 Ir 2.76
Ge (0.0812, 0.8266, 0.5000)  9 Ce 3.11-3.25
Ge (0.4188, 0.3266, 0.5000)  9 Ce 3.11-3.25
Ge (0.5812, 0.6734, 0.5000)  9 Ce 3.11-3.25
Ge (0.9188, 0.1734, 0.5000)  9 Ce 3.11-3.25
Ir (0.0000, 0.5000, 0.0000)  6 Ce 2.76-2.87
Ir (0.5000, 0.0000, 0.0000)  6 Ce 2.76-2.87

Calculated values
Its symmetry is Pbam. The calculated formation energy comes out at -652 meV per atom.



Entry 3:
This record from the Alexandria database describes a geometry-optimized YTlCl2 structure. The functional is PBE.

abc: 12.0713 3.6378 6.3140
angles: 90.00 117.56 90.00
With the nearest neighbours (Å) after each atom.
Atoms (fractional coordinates):
Y (0.0000, 0.0000, 0.0000)  4 Cl 2.67-2.68
Y (0.5000, 0.5000, 0.0000)  4 Cl 2.67-2.68
Tl (0.2664, 0.0000, 0.5280)  1 Cl 3.34, 3 Y 3.40-3.52, 2 Tl 3.64
Tl (0.7664, 0.5000, 0.5280)  1 Cl 3.34, 3 Y 3.40-3.52, 2 Tl 3.64
Cl (0.1292, 0.5000, 0.8935)  2 Y 2.68
Cl (0.4371, 0.0000, 0.2359)  2 Y 2.67
Cl (0.6292, 0.0000, 0.8935)  2 Y 2.68
Cl (0.9371, 0.5000, 0.2359)  2 Y 2.67

Calculated values
Its symmetry is Cm. The calculation puts the formation energy from raw total energies at -1.299 eV/atom.



no.,offset from the most stable computed form (meV per atom)
1,0
2,0
3,39